Record 1
A plane-wave DFT calculation with PBE was carried out for crystalline PuPa2Mo at its relaxed geometry.

```
PuPa2Mo
1.0
3.4725 0.0000 0.0000
0.0000 3.4725 0.0000
0.0000 0.0000 7.2351
Pa Mo Pu
2 1 1
direct
0.0000 0.0000 0.2403
0.0000 0.0000 0.7597
0.5000 0.5000 0.0000
0.5000 0.5000 0.5000
```

Properties
The calculation puts the polymorph energy (0 for the lowest one) at 0 meV per atom. The calculation puts the spin magnetization at 5.06 Bohr magnetons per cell. As for the space-group type: P4/mmm (123).



Record 2
A plane-wave DFT calculation with PBE was carried out for crystalline MgZrBr6 at its relaxed geometry.

```
MgZrBr6
1.0
7.4337 -1.0342 -0.2757
-3.7255 6.5153 -0.2757
-0.9492 -1.4031 6.4231
Mg Zr Br
1 1 6
direct
0.0000 0.0000 0.0000
0.5000 0.5000 0.5000
0.3874 0.1113 0.2490
0.6126 0.8887 0.7510
0.1113 0.3874 0.2490
0.2584 0.2584 0.7409
0.8887 0.6126 0.7510
0.7416 0.7416 0.2591
```

Properties
Its formation energy from raw total energies is -10.858 eV/f.u. The calculation puts the spin magnetization at 0.00 Bohr magnetons per cell. As for the space-group type: C2/m (12).



Record 3
A plane-wave DFT calculation with PBE was carried out for crystalline Th2TlRh at its relaxed geometry.

```
Th2TlRh
1.0
3.9883 0.0000 0.0000
1.9941 3.4540 0.0000
1.9941 1.1513 8.5641
Tl Th Rh
1 2 1
direct
0.4990 0.4990 0.5029
0.2676 0.2676 0.1973
0.0653 0.0653 0.8040
0.6680 0.6680 0.9959
```

Properties
The calculation puts the polymorph energy (0 for the lowest one) at 30 meV per atom. The calculation puts the spin magnetization at 0.00 Bohr magnetons per cell. As for the space-group type: R3m (160).



Record 4
A plane-wave DFT calculation with PBE was carried out for crystalline Tl2SnCl6 at its relaxed geometry.

```
Tl2SnCl6
1.0
7.2271 0.0000 0.0000
3.6135 6.2588 0.0000
3.6135 2.0863 5.9009
Cl Sn Tl
6 1 2
direct
0.7586 0.2414 0.2414
0.7586 0.2414 0.7586
0.2414 0.2414 0.7586
0.7586 0.7586 0.2414
0.2414 0.7586 0.2414
0.2414 0.7586 0.7586
0.0000 0.0000 0.0000
0.2500 0.2500 0.2500
0.7500 0.7500 0.7500
```

Properties
Its formation energy from raw total energies is -9.210 eV/f.u. The calculation puts the polymorph energy (0 for the lowest one) at 7 meV per atom. The calculation puts the spin magnetization at 0.00 Bohr magnetons per cell. As for the space-group type: Fm-3m (225).



Record 5
A plane-wave DFT calculation with PBE was carried out for crystalline ZrAlBr2 at its relaxed geometry.

```
ZrAlBr2
1.0
6.8667 0.0111 0.0006
4.2603 5.3854 -0.0006
-5.0743 -3.7070 2.7681
Br Zr Al
2 1 1
direct
0.0216 0.0216 0.0000
0.3112 0.8112 0.5000
0.4887 0.4887 0.0000
0.6785 0.1785 0.5000
```

Properties
Its formation energy from raw total energies is -1.203 eV/f.u. The calculation puts the polymorph energy (0 for the lowest one) at 417 meV per atom. The calculation puts the spin magnetization at 0.30 Bohr magnetons per cell. As for the space-group type: Imm2 (44).



Record 6
A plane-wave DFT calculation with PBE was carried out for crystalline Ba2ZnAg6Sn at its relaxed geometry.

```
Ba2ZnAg6Sn
1.0
7.0078 -0.0010 -0.0036
0.0057 7.4649 0.3142
3.5228 3.9620 5.2909
Zn Ag Sn Ba
1 6 1 2
direct
0.5000 0.5000 0.0000
0.1561 0.2569 0.1007
0.2570 0.1583 0.4862
0.7430 0.8417 0.5138
0.7435 0.2574 0.1014
0.8439 0.7431 0.8993
0.2565 0.7426 0.8986
0.0000 0.0000 0.0000
0.7127 0.2873 0.5735
0.2873 0.7127 0.4265
```

Properties
The calculation puts the total energy at -28.08 eV per cell. The calculation puts the spin magnetization at 0.00 Bohr magnetons per cell. As for the space-group type: P-1 (2).



Record 7
A plane-wave DFT calculation with PBE was carried out for crystalline YSn3Rh4 at its relaxed geometry.

```
YSn3Rh4
1.0
4.4307 0.0000 1.3079
2.0223 3.9422 1.3079
-0.0411 -0.0251 8.2979
Sn Rh Y
3 4 1
direct
0.5000 0.5000 0.5000
0.7449 0.7449 0.7652
0.2551 0.2551 0.2348
0.8696 0.8696 0.3912
0.6096 0.6096 0.1713
0.3904 0.3904 0.8287
0.1304 0.1304 0.6088
0.0000 0.0000 0.0000
```

Properties
The calculation puts the total energy at -52.53 eV per cell. The calculation puts the spin magnetization at 0.00 Bohr magnetons per cell. As for the space-group type: R-3m (166).



Record 8
A plane-wave DFT calculation with PBE was carried out for crystalline MgZn2Hg at its relaxed geometry.

```
MgZn2Hg
1.0
-2.9462 -2.7369 2.4904
-4.6722 0.3537 -0.6468
-2.3621 -3.4935 -2.1420
Hg Zn Mg
1 2 1
direct
0.5000 0.5000 0.5000
0.7500 0.7500 0.7500
0.2500 0.2500 0.2500
0.0000 0.0000 0.0000
```

Properties
The calculation puts the polymorph energy (0 for the lowest one) at 80 meV per atom. The calculation puts the spin magnetization at 0.00 Bohr magnetons per cell. As for the space-group type: Fm-3m (225).



Record 9
A plane-wave DFT calculation with PBE was carried out for crystalline MnTl2Ni at its relaxed geometry.

```
MnTl2Ni
1.0
3.2542 0.0220 0.0000
-0.0187 3.2542 0.0000
0.0000 0.0000 6.9608
Ni Tl Mn
1 2 1
direct
0.5000 0.5000 0.7500
0.0000 0.0000 0.5163
0.0000 0.0000 0.9837
0.5000 0.5000 0.2500
```

Properties
The calculation puts the polymorph energy (0 for the lowest one) at 143 meV per atom. The calculation puts the spin magnetization at 3.66 Bohr magnetons per cell. As for the space-group type: P4/mmm (123).



Record 10
A plane-wave DFT calculation with PBE was carried out for crystalline RbNaNd2Cl8 at its relaxed geometry.

```
RbNaNd2Cl8
1.0
6.9805 0.2113 -0.0058
0.3140 6.9256 -0.0086
0.0058 0.0102 8.6857
Na Cl Nd Rb
1 8 2 1
direct
0.0000 0.0000 0.0000
0.2089 0.7764 0.7781
0.6733 0.6872 0.0000
0.2088 0.7762 0.2218
0.7911 0.2236 0.2219
0.3267 0.3128 0.0000
0.3378 0.3216 0.5001
0.7912 0.2238 0.7782
0.6622 0.6784 0.4999
0.5000 0.5000 0.2439
0.5000 0.5000 0.7561
0.0000 0.0000 0.5000
```

Properties
Its formation energy from raw total energies is -25.477 eV/f.u. The calculation puts the spin magnetization at 0.00 Bohr magnetons per cell. As for the space-group type: P2/m (10).



Record 11
A plane-wave DFT calculation with PBE was carried out for crystalline Ho11Sn10 at its relaxed geometry.

```
Ho11Sn10
1.0
11.8045 0.0106 0.0000
0.4096 11.7974 0.0000
-6.1070 -5.9040 8.1971
Ho Sn
22 20
direct
0.4398 0.1885 0.2512
0.9373 0.1885 0.7488
0.2710 0.6023 0.6687
0.8115 0.0627 0.2512
0.9335 0.6023 0.3313
0.8115 0.5602 0.7488
0.3977 0.7290 0.3313
0.3977 0.0665 0.6687
0.6661 0.6661 0.0000
0.1885 0.9373 0.7488
0.8266 0.1734 0.0000
0.0665 0.3977 0.6687
0.6023 0.9335 0.3313
0.3339 0.3339 0.0000
0.7290 0.3977 0.3313
0.0627 0.8115 0.2512
0.8266 0.8266 0.6532
0.1734 0.8266 0.0000
0.6023 0.2710 0.6687
0.1885 0.4398 0.2512
0.5602 0.8115 0.7488
0.1734 0.1734 0.3468
0.4702 0.8816 0.0000
0.3703 0.3703 0.7406
0.7500 0.2500 0.5000
0.3555 0.0000 0.3555
0.2500 0.7500 0.5000
0.6445 0.0000 0.6445
0.6297 0.3703 0.0000
0.8816 0.4702 0.0000
0.5298 0.5298 0.4114
0.3703 0.6297 0.0000
0.0000 0.3555 0.3555
0.1123 0.1123 0.0000
0.8877 0.8877 0.0000
0.6297 0.6297 0.2594
0.1184 0.1184 0.5886
0.8816 0.8816 0.4114
0.0000 0.6445 0.6445
0.5298 0.1184 0.0000
0.1184 0.5298 0.0000
0.4702 0.4702 0.5886
```

Properties
The calculation puts the total energy at -211.17 eV per cell. The calculation puts the spin magnetization at 0.00 Bohr magnetons per cell. As for the space-group type: I4/mmm (139).



Record 12
A plane-wave DFT calculation with PBE was carried out for crystalline NdYN2 at its relaxed geometry.

```
NdYN2
1.0
-0.5432 -1.9026 -2.8898
2.2827 -1.1002 2.4176
-4.5178 -3.0683 2.8692
N Nd Y
2 1 1
direct
0.3333 0.1667 0.2403
0.6667 0.8333 0.7597
0.0000 0.5000 0.5000
0.0000 0.5000 0.0000
```

Properties
Its formation energy from raw total energies is -4.641 eV/f.u. The calculation puts the spin magnetization at 0.00 Bohr magnetons per cell. As for the space-group type: P-3m1 (164).



Question: Which of these has the highest spin magnetization?
Answer: PuPa2Mo



Question: What is the spin magnetization in the fourth record?
Answer: 0.00 Bohr magnetons per cell